An optimized crystal structure of NaTbHgTe3. Source: OQMD via LeMat-Bulk, functional PBE-GGA.

Output
Energy relative to the lowest polymorph listed for this composition: 0.006 eV per formula unit

Cell: 11.7366 4.3993 14.9254 Å, 90.00 90.00 90.00°
Atoms (fractional coordinates):
Hg 0.7412 0.7500 0.2813
Na 0.2699 0.7500 0.5224
Na 0.7301 0.2500 0.4776
Tb 0.4878 0.2500 0.2461
Te 0.5679 0.2500 0.8956
Te 0.0679 0.2500 0.6044
Te 0.9580 0.2500 0.8883
Tb 0.0122 0.7500 0.7461
Te 0.2381 0.2500 0.3437
Na 0.7699 0.7500 0.9776
Te 0.9321 0.7500 0.3956
Te 0.4321 0.7500 0.1044
Te 0.0420 0.7500 0.1117
Te 0.4580 0.2500 0.6117
Te 0.7381 0.2500 0.1563
Hg 0.7588 0.2500 0.7813
Tb 0.5122 0.7500 0.7539
Hg 0.2588 0.2500 0.7187
Te 0.7619 0.7500 0.6563
Tb 0.9878 0.2500 0.2539
Hg 0.2412 0.7500 0.2187
Te 0.5420 0.7500 0.3883
Na 0.2301 0.2500 0.0224
Te 0.2619 0.7500 0.8437